Entry 1:
The following is a DFT calculation (PBE-GGA) of a geometry-optimized Pm8CoSi2 structure.

abc: 18.595 4.594 7.263
angles: 90.00 99.70 90.00
Space group C2/m (No. 12)
One atom of each set of equivalent atoms:
1 Pm 0.012 0.000 0.284 x4
2 Pm 0.097 0.500 0.004 x4
3 Pm 0.151 0.500 0.507 x4
4 Pm 0.217 0.000 0.838 x4
5 Co 0.000 0.500 0.500 x2
6 Si 0.182 0.000 0.250 x4

**E_tot**: -5.3336 eV/atom
**Raw formation energy**: -247 meV/atom
**Fermi-level density of states**: 12.3 states/eV/f.u.

=====

Entry 2:
The following is a DFT calculation (PBE-GGA) of a geometry-optimized PmCo4Si2 structure.

abc: 3.466 3.466 16.909
angles: 90.00 90.00 90.00
Space group I4/mmm (No. 139)
One atom of each set of equivalent atoms:
1 Pm 0.000 0.000 0.000 x2
2 Co 0.000 0.000 0.149 x4
3 Co 0.000 0.500 0.250 x4
4 Si 0.000 0.000 0.351 x4

**E_tot**: -6.4428 eV/atom
**Raw formation energy**: -154 meV/atom
**Polymorph energy (0 for the lowest one)**: 0.335 eV per atom
**Fermi-level density of states**: 6.5 states/eV/f.u.

=====

Entry 3:
The following is a DFT calculation (PBE-GGA) of a geometry-optimized Pm3Co2Si3 structure.

abc: 4.059 11.024 14.146
angles: 90.00 90.00 90.00
Space group Cmcm (No. 63)
One atom of each set of equivalent atoms:
1 Pm 0.000 0.072 0.106 x8
2 Pm 0.000 0.356 0.250 x4
3 Co 0.000 0.219 0.602 x8
4 Si 0.000 0.338 0.750 x4
5 Si 0.000 0.341 0.039 x8

**E_tot**: -6.2376 eV/atom
**Raw formation energy**: -646 meV/atom
**Fermi-level density of states**: 6.3 states/eV/f.u.